(a)
Density functional theory data (PBE-GGA) for a geometry-optimized LiN2F structure.

abc: 4.526 4.526 4.526
angles: 44.50 44.50 44.50
Atoms (fractional coordinates):
N  0.157  0.157  0.157
N  0.843  0.843  0.843
Li  0.500  0.500  0.500
F  0.000  0.000  0.000

(b)
Density functional theory data (PBE-GGA) for a geometry-optimized LiN2F structure.

abc: 7.080 7.080 7.080
angles: 20.28 20.28 20.28
Atoms (fractional coordinates):
N  0.090  0.090  0.090
N  0.910  0.910  0.910
Li  0.000  0.000  0.000
F  0.500  0.500  0.500

Most stable: (a)

(a)
Density functional theory data (PBE-GGA) for a geometry-optimized Li2NF structure.

abc: 3.750 3.750 3.750
angles: 60.00 60.00 60.00
Last column: magnetic moment on the atom in μB.
Atoms (fractional coordinates):
N  0.000  0.000  0.000  1.19
Li  0.250  0.250  0.250  0.01
Li  0.750  0.750  0.750  0.01
F  0.500  0.500  0.500  0.22

(b)
Density functional theory data (PBE-GGA) for a geometry-optimized Li2NF structure.

abc: 5.178 5.178 4.875
angles: 57.92 57.92 90.00
Last column: magnetic moment on the atom in μB.
Atoms (fractional coordinates):
F  0.750  0.250  0.500  0.04
F  0.000  0.000  0.000  0.04
N  0.500  0.500  0.000  1.28
N  0.250  0.750  0.500  1.29
Li  0.660  0.125  0.250  0.02
Li  0.090  0.625  0.250  0.02
Li  0.875  0.910  0.750  0.02
Li  0.375  0.340  0.750  0.02

Most stable: (b)